First-principles (GGA+U) data for a relaxed KMnBiWO6 crystal, as listed in the Alexandria database.

Geometry as CIF:
```
data_KMnBiWO6
_symmetry_space_group_name_H-M 'F -4 3 m'
_symmetry_Int_Tables_number 216
_symmetry_space_group_name_Hall 'F -4 2 3'
_cell_length_a 8.129
_cell_length_b 8.129
_cell_length_c 8.129
_cell_angle_alpha 90.00
_cell_angle_beta 90.00
_cell_angle_gamma 90.00
loop_
_atom_site_label
_atom_site_type_symbol
_atom_site_fract_x
_atom_site_fract_y
_atom_site_fract_z
_atom_site_occupancy
K1 K 0.000 0.000 0.000 1
Mn1 Mn 0.250 0.250 0.250 1
Bi1 Bi 0.000 0.000 0.500 1
W1 W 0.250 0.250 0.750 1
O1 O 0.011 0.250 0.750 1
```

- Spin magnetization: 0.493 μB/atom
- Final energy: -0.241 Ha/atom